No. 1
# AgIrRuAu2 GGA-PBE relaxed
# D(E_F) = 1.47 states/eV/atom
# mass density = 11.028 g cm⁻³
# DFT formation energy = 44.83 kcal/mol of atoms
data_AgIrRuAu2
_space_group_name_H-M_alt 'P 4/m m m'
_space_group_IT_number 123
_space_group_name_Hall '-P 4 2'
_cell_length_a 4.929
_cell_length_b 4.929
_cell_length_c 4.927
_cell_angle_alpha 90.00
_cell_angle_beta 90.00
_cell_angle_gamma 90.00
loop_
_atom_site_label
_atom_site_type_symbol
_atom_site_fract_x
_atom_site_fract_y
_atom_site_fract_z
Ag1 Ag 0.000 0.000 0.000
Ir1 Ir 0.500 0.500 0.000
Ru1 Ru 0.000 0.000 0.500
Au1 Au 0.000 0.500 0.500

No. 2
# BaScSi2 GGA-PBE relaxed
# D(E_F) = 0.63 states/eV/atom
# uncorrected formation energy = -68 meV/atom
# mass density = 3.158 g cm⁻³
# distance to the lowest polymorph of the same formula = 0.370 eV per atom
data_BaScSi2
_space_group_name_H-M_alt 'I -4 2 d'
_space_group_IT_number 122
_space_group_name_Hall 'I -4 2bw'
_cell_length_a 5.281
_cell_length_b 5.281
_cell_length_c 17.978
_cell_angle_alpha 90.00
_cell_angle_beta 90.00
_cell_angle_gamma 90.00
loop_
_atom_site_label
_atom_site_type_symbol
_atom_site_fract_x
_atom_site_fract_y
_atom_site_fract_z
Ba1 Ba 0.000 0.000 0.000
Sc1 Sc 0.000 0.000 0.500
Si1 Si 0.047 0.250 0.625

No. 3
# CoGeAs2Br GGA-PBE relaxed
# D(E_F) = 0.86 states/eV/atom
# uncorrected formation energy = 1093 meV/atom
# mass density = 4.675 g cm⁻³
# distance to the lowest polymorph of the same formula = 0.654 eV per atom
data_CoGeAs2Br
_space_group_name_H-M_alt 'P 4/m m m'
_space_group_IT_number 123
_space_group_name_Hall '-P 4 2'
_cell_length_a 4.958
_cell_length_b 4.958
_cell_length_c 5.220
_cell_angle_alpha 90.00
_cell_angle_beta 90.00
_cell_angle_gamma 90.00
loop_
_atom_site_label
_atom_site_type_symbol
_atom_site_fract_x
_atom_site_fract_y
_atom_site_fract_z
Co1 Co 0.000 0.000 0.000
Ge1 Ge 0.500 0.500 0.500
As1 As 0.000 0.500 0.500
Br1 Br 0.500 0.500 0.000

No. 4
# NdSm4Er15 GGA-PBE relaxed
# D(E_F) = 1.34 states/eV/atom
# mass density = 8.631 g cm⁻³
# DFT formation energy = 0.51 kcal/mol of atoms
data_NdSm4Er15
_space_group_name_H-M_alt 'P 4/m m m'
_space_group_IT_number 123
_space_group_name_Hall '-P 4 2'
_cell_length_a 5.008
_cell_length_b 5.008
_cell_length_c 24.964
_cell_angle_alpha 90.00
_cell_angle_beta 90.00
_cell_angle_gamma 90.00
loop_
_atom_site_label
_atom_site_type_symbol
_atom_site_fract_x
_atom_site_fract_y
_atom_site_fract_z
Nd1 Nd 0.000 0.000 0.000
Sm1 Sm 0.000 0.000 0.200
Sm2 Sm 0.000 0.000 0.400
Er1 Er 0.000 0.500 0.101
Er2 Er 0.000 0.500 0.300
Er3 Er 0.000 0.500 0.500
Er4 Er 0.500 0.500 0.000
Er5 Er 0.500 0.500 0.201
Er6 Er 0.500 0.500 0.400

No. 5
# K2ZrCu GGA-PBE relaxed
# D(E_F) = 0.75 states/eV/atom
# mass density = 3.291 g cm⁻³
# DFT formation energy = 18.88 kcal/mol of atoms
# distance to the lowest polymorph of the same formula = 0.411 eV per atom
data_K2ZrCu
_space_group_name_H-M_alt 'R -3 m'
_space_group_IT_number 166
_space_group_name_Hall '-R 3 2"'
_cell_length_a 3.3522
_cell_length_b 3.3522
_cell_length_c 36.2426
_cell_angle_alpha 90.00
_cell_angle_beta 90.00
_cell_angle_gamma 120.00
loop_
_atom_site_label
_atom_site_type_symbol
_atom_site_fract_x
_atom_site_fract_y
_atom_site_fract_z
K1 K 0.0000 0.0000 0.2393
Zr1 Zr 0.0000 0.0000 0.0000
Cu1 Cu 0.0000 0.0000 0.5000

No. 6
# CaCo2Si2 GGA-PBE relaxed
# D(E_F) = 0.75 states/eV/atom
# uncorrected formation energy = -398 meV/atom
# mass density = 4.752 g cm⁻³
data_CaCo2Si2
_space_group_name_H-M_alt 'I 4/m m m'
_space_group_IT_number 139
_space_group_name_Hall '-I 4 2'
_cell_length_a 3.917
_cell_length_b 3.917
_cell_length_c 9.754
_cell_angle_alpha 90.00
_cell_angle_beta 90.00
_cell_angle_gamma 90.00
loop_
_atom_site_label
_atom_site_type_symbol
_atom_site_fract_x
_atom_site_fract_y
_atom_site_fract_z
Ca1 Ca 0.000 0.000 0.000
Co1 Co 0.000 0.000 0.378
Si1 Si 0.000 0.500 0.250

No. 7
# Nd3ThF GGA-PBE relaxed
# D(E_F) = 1.09 states/eV/atom
# uncorrected formation energy = -925 meV/atom
# mass density = 8.150 g cm⁻³
data_Nd3ThF
_space_group_name_H-M_alt 'P m -3 m'
_space_group_IT_number 221
_space_group_name_Hall '-P 4 2 3'
_cell_length_a 5.184
_cell_length_b 5.184
_cell_length_c 5.184
_cell_angle_alpha 90.00
_cell_angle_beta 90.00
_cell_angle_gamma 90.00
loop_
_atom_site_label
_atom_site_type_symbol
_atom_site_fract_x
_atom_site_fract_y
_atom_site_fract_z
Nd1 Nd 0.000 0.000 0.500
Th1 Th 0.500 0.500 0.500
F1 F 0.000 0.000 0.000

No. 8
# BePdPbAu GGA-PBE relaxed
# D(E_F) = 0.37 states/eV/atom
# mass density = 11.484 g cm⁻³
# DFT formation energy = 0.17 kcal/mol of atoms
# distance to the lowest polymorph of the same formula = 0.165 eV per atom
data_BePdPbAu
_space_group_name_H-M_alt 'P 3 m 1'
_space_group_IT_number 156
_cell_length_a 4.2198
_cell_length_b 4.2198
_cell_length_c 4.8719
_cell_angle_alpha 90.00
_cell_angle_beta 90.00
_cell_angle_gamma 120.00
loop_
_space_group_symop_operation_xyz
'x,y,z'
'-y,x-y,z'
'-x+y,-x,z'
'-y,-x,z'
'-x+y,y,z'
'x,x-y,z'
loop_
_atom_site_label
_atom_site_type_symbol
_atom_site_fract_x
_atom_site_fract_y
_atom_site_fract_z
Be1 Be 0.0000 0.0000 0.0000
Pd1 Pd 0.0000 0.0000 0.4676
Pb1 Pb 0.3333 0.6667 0.7357
Au1 Au 0.6667 0.3333 0.1544

No. 9
# Na4Hg4Bi3 GGA-PBE relaxed
# D(E_F) = 0.36 states/eV/atom
# mass density = 7.918 g cm⁻³
# DFT formation energy = -4.34 kcal/mol of atoms
data_Na4Hg4Bi3
_space_group_name_H-M_alt 'A m m 2'
_space_group_IT_number 38
_cell_length_a 10.297
_cell_length_b 5.280
_cell_length_c 11.737
_cell_angle_alpha 90.00
_cell_angle_beta 90.00
_cell_angle_gamma 90.00
loop_
_space_group_symop_operation_xyz
'x,y,z'
'-x,-y,z'
'-x,y,z'
'x,-y,z'
'x,y+1/2,z+1/2'
'-x,-y+1/2,z+1/2'
'-x,y+1/2,z+1/2'
'x,-y+1/2,z+1/2'
loop_
_atom_site_label
_atom_site_type_symbol
_atom_site_fract_x
_atom_site_fract_y
_atom_site_fract_z
Na1 Na 0.000 0.000 0.000
Na2 Na 0.230 0.000 0.790
Na3 Na 0.500 0.000 0.952
Hg1 Hg 0.000 0.000 0.630
Hg2 Hg 0.315 0.000 0.165
Hg3 Hg 0.500 0.000 0.662
Bi1 Bi 0.000 0.000 0.297
Bi2 Bi 0.245 0.000 0.469

No. 10
# NaSmGdIn GGA-PBE relaxed
# D(E_F) = 1.07 states/eV/atom
# mass density = 6.407 g cm⁻³
# DFT formation energy = -3.50 kcal/mol of atoms
data_NaSmGdIn
_space_group_name_H-M_alt 'F -4 3 m'
_space_group_IT_number 216
_space_group_name_Hall 'F -4 2 3'
_cell_length_a 7.729
_cell_length_b 7.729
_cell_length_c 7.729
_cell_angle_alpha 90.00
_cell_angle_beta 90.00
_cell_angle_gamma 90.00
loop_
_atom_site_label
_atom_site_type_symbol
_atom_site_fract_x
_atom_site_fract_y
_atom_site_fract_z
Na1 Na 0.000 0.000 0.000
Sm1 Sm 0.250 0.250 0.750
Gd1 Gd 0.250 0.250 0.250
In1 In 0.000 0.000 0.500

No. 11
# BaTl6 GGA-PBE relaxed
# D(E_F) = 0.64 states/eV/atom
# mass density = 9.563 g cm⁻³
# DFT formation energy = -2.80 kcal/mol of atoms
# distance to the lowest polymorph of the same formula = 0.000 eV per atom
data_BaTl6
_space_group_name_H-M_alt 'P 4/n b m'
_space_group_IT_number 125
_cell_length_a 7.079
_cell_length_b 7.079
_cell_length_c 9.449
_cell_angle_alpha 90.00
_cell_angle_beta 90.00
_cell_angle_gamma 90.00
loop_
_space_group_symop_operation_xyz
'x,y,z'
'-x,-y,-z'
'-y+1/2,x,z'
'y+1/2,-x,-z'
'-x+1/2,-y+1/2,z'
'x+1/2,y+1/2,-z'
'y,-x+1/2,z'
'-y,x+1/2,-z'
'x,-y+1/2,-z'
'-x,y+1/2,z'
'-y+1/2,-x+1/2,-z'
'y+1/2,x+1/2,z'
'-x+1/2,y,-z'
'x+1/2,-y,z'
'y,x,-z'
'-y,-x,z'
loop_
_atom_site_label
_atom_site_type_symbol
_atom_site_fract_x
_atom_site_fract_y
_atom_site_fract_z
Ba1 Ba 0.250 0.750 0.000
Tl1 Tl 0.078 0.578 0.358
Tl2 Tl 0.250 0.250 0.161

No. 12
# TlCdAg2 GGA-PBE relaxed
# D(E_F) = 0.39 states/eV/atom
# mass density = 10.424 g cm⁻³
# DFT formation energy = 2.09 kcal/mol of atoms
# distance to the lowest polymorph of the same formula = 0.033 eV per atom
data_TlCdAg2
_space_group_name_H-M_alt 'I 4/m m m'
_space_group_IT_number 139
_space_group_name_Hall '-I 4 2'
_cell_length_a 4.512
_cell_length_b 4.512
_cell_length_c 8.336
_cell_angle_alpha 90.00
_cell_angle_beta 90.00
_cell_angle_gamma 90.00
loop_
_atom_site_label
_atom_site_type_symbol
_atom_site_fract_x
_atom_site_fract_y
_atom_site_fract_z
Tl1 Tl 0.000 0.000 0.000
Cd1 Cd 0.000 0.000 0.500
Ag1 Ag 0.000 0.500 0.250

Repeat the twelfth record exactly.
# TlCdAg2 GGA-PBE relaxed
# D(E_F) = 0.39 states/eV/atom
# mass density = 10.424 g cm⁻³
# DFT formation energy = 2.09 kcal/mol of atoms
# distance to the lowest polymorph of the same formula = 0.033 eV per atom
data_TlCdAg2
_space_group_name_H-M_alt 'I 4/m m m'
_space_group_IT_number 139
_space_group_name_Hall '-I 4 2'
_cell_length_a 4.512
_cell_length_b 4.512
_cell_length_c 8.336
_cell_angle_alpha 90.00
_cell_angle_beta 90.00
_cell_angle_gamma 90.00
loop_
_atom_site_label
_atom_site_type_symbol
_atom_site_fract_x
_atom_site_fract_y
_atom_site_fract_z
Tl1 Tl 0.000 0.000 0.000
Cd1 Cd 0.000 0.000 0.500
Ag1 Ag 0.000 0.500 0.250